# B3C GGA-PBE optimized geometry
data_B3C
_chemical_formula_sum 'B6 C2'
_cell_length_a 5.3026
_cell_length_b 5.3026
_cell_length_c 5.0067
_cell_angle_alpha 51.25
_cell_angle_beta 51.25
_cell_angle_gamma 30.46
_symmetry_space_group_name_H-M 'P 1'
_symmetry_Int_Tables_number 1
loop_
_symmetry_equiv_pos_as_xyz
'x,y,z'
loop_
_atom_site_label
_atom_site_fract_x
_atom_site_fract_y
_atom_site_fract_z
B1 0.6924 0.6924 0.4460
B2 0.9163 0.9163 0.2420
B3 0.0837 0.0837 0.7580
B4 0.3076 0.3076 0.5540
B5 0.4789 0.4789 0.7990
B6 0.5211 0.5211 0.2010
C1 0.2991 0.2991 0.8937
C2 0.7009 0.7009 0.1063
# Magnetization (μB per cell): 0.0
# Mass density (g/cm3): 2.717
# Raw total energy (Ha/atom): -0.2565
# Space group: C2/m, No. 12

# BC GGA-PBE optimized geometry
data_BC
_chemical_formula_sum 'B5 C5'
_cell_length_a 4.4985
_cell_length_b 4.4985
_cell_length_c 6.2839
_cell_angle_alpha 110.80
_cell_angle_beta 110.80
_cell_angle_gamma 33.73
_symmetry_space_group_name_H-M 'P 1'
_symmetry_Int_Tables_number 1
loop_
_symmetry_equiv_pos_as_xyz
'x,y,z'
loop_
_atom_site_label
_atom_site_fract_x
_atom_site_fract_y
_atom_site_fract_z
B1 0.2155 0.2155 0.0643
B2 0.2126 0.2126 0.7529
B3 0.4374 0.4374 0.8727
B4 0.5645 0.5645 0.6654
B5 0.5936 0.5936 0.3932
C1 0.0196 0.0196 0.0195
C2 0.3589 0.3589 0.5844
C3 0.7892 0.7892 0.4411
C4 0.8151 0.8151 0.2130
C5 0.9936 0.9936 0.2436
# Magnetization (μB per cell): 0.0
# Mass density (g/cm3): 2.890
# Raw total energy (Ha/atom): -0.2768
# Space group: Cm, No. 8